! Dy5Ho2TmMg (GGA-PBE, optimized geometry); values from VASP
&SYSTEM
  ibrav = 0, nat = 18, ntyp = 4
/
ATOMIC_SPECIES
Dy 162.50 Dy.upf
Ho 164.93 Ho.upf
Tm 168.93 Tm.upf
Mg 24.30 Mg.upf
CELL_PARAMETERS angstrom
2.689 -9.960 0.000
2.689 9.960 0.000
0.000 0.000 10.441
ATOMIC_POSITIONS crystal
Dy 0.000 0.000 0.000
Dy 0.000 0.000 0.500
Dy 0.119 0.881 0.751
Dy 0.210 0.790 0.451
Dy 0.211 0.789 0.050
Dy 0.486 0.514 0.751
Dy 0.514 0.486 0.251
Dy 0.789 0.211 0.550
Dy 0.790 0.210 0.951
Dy 0.881 0.119 0.251
Ho 0.385 0.615 0.464
Ho 0.386 0.614 0.038
Ho 0.614 0.386 0.538
Ho 0.615 0.385 0.964
Tm 0.295 0.705 0.751
Tm 0.705 0.295 0.251
Mg 0.095 0.905 0.249
Mg 0.905 0.095 0.749
! **DFT formation energy**: 0.105 eV per atom
! **Space group**: Cmc2_1, No. 36
! **Total DFT energy (no corrections)**: -74.6 eV for the cell shown
! **Crystal system**: orthorhombic
! **Density of states at the Fermi level**: 24.5 states/eV per cell

! FeTcTeOs2 (GGA-PBE, optimized geometry); values from VASP
&SYSTEM
  ibrav = 0, nat = 5, ntyp = 4
/
ATOMIC_SPECIES
Fe 55.84 Fe.upf
Tc 98.00 Tc.upf
Te 127.60 Te.upf
Os 190.23 Os.upf
CELL_PARAMETERS angstrom
4.764 0.000 0.000
0.000 4.764 0.000
0.000 0.000 4.767
ATOMIC_POSITIONS crystal
Fe 0.000 0.000 0.000
Tc 0.500 0.500 0.000
Te 0.500 0.500 0.500
Os 0.000 0.500 0.500
Os 0.500 0.000 0.500
! **Space group**: P4/mmm, No. 123
! **Total DFT energy (no corrections)**: -30.8 eV for the cell shown
! **Crystal system**: tetragonal
! **Formation energy from raw total energies**: 2735 meV/atom
! **Density of states at the Fermi level**: 11.7 states/eV per cell

! Zr5ZnCo2 (GGA-PBE, optimized geometry); values from VASP
&SYSTEM
  ibrav = 0, nat = 16, ntyp = 3
/
ATOMIC_SPECIES
Zr 91.22 Zr.upf
Zn 65.41 Zn.upf
Co 58.93 Co.upf
CELL_PARAMETERS angstrom
-3.619 3.619 5.762
3.619 -3.619 5.762
3.619 3.619 -5.762
ATOMIC_POSITIONS crystal
Zr 0.000 0.000 0.000
Zr 0.016 0.516 0.817
Zr 0.200 0.016 0.500
Zr 0.300 0.800 0.817
Zr 0.484 0.300 0.500
Zr 0.500 0.500 0.000
Zr 0.516 0.700 0.500
Zr 0.700 0.200 0.183
Zr 0.800 0.984 0.500
Zr 0.984 0.484 0.183
Zn 0.250 0.250 0.000
Zn 0.750 0.750 0.000
Co 0.127 0.373 0.500
Co 0.373 0.873 0.245
Co 0.627 0.127 0.755
Co 0.873 0.627 0.500
! **DFT formation energy**: -0.205 eV per atom
! **Space group**: I4/mcm, No. 140
! **Total DFT energy (no corrections)**: -119.7 eV for the cell shown
! **Crystal system**: tetragonal
! **Density of states at the Fermi level**: 18.5 states/eV per cell

! La12Cu3C5 (GGA-PBE, optimized geometry); values from VASP
&SYSTEM
  ibrav = 0, nat = 80, ntyp = 3
/
ATOMIC_SPECIES
La 138.91 La.upf
Cu 63.55 Cu.upf
C 12.01 C.upf
CELL_PARAMETERS angstrom
-8.172 8.172 8.172
8.172 -8.172 8.172
8.172 8.172 -8.172
ATOMIC_POSITIONS crystal
La 0.024 0.205 0.118
La 0.024 0.319 0.907
La 0.087 0.705 0.681
La 0.087 0.882 0.407
La 0.093 0.618 0.413
La 0.093 0.976 0.681
La 0.118 0.024 0.205
La 0.118 0.593 0.913
La 0.181 0.205 0.587
La 0.181 0.476 0.593
La 0.205 0.118 0.024
La 0.205 0.587 0.181
La 0.295 0.319 0.913
La 0.295 0.476 0.382
La 0.319 0.907 0.024
La 0.319 0.913 0.295
La 0.382 0.295 0.476
La 0.382 0.587 0.907
La 0.407 0.087 0.882
La 0.407 0.819 0.524
La 0.413 0.093 0.618
La 0.413 0.819 0.795
La 0.476 0.382 0.295
La 0.476 0.593 0.181
La 0.524 0.407 0.819
La 0.524 0.618 0.705
La 0.587 0.181 0.205
La 0.587 0.907 0.382
La 0.593 0.181 0.476
La 0.593 0.913 0.118
La 0.618 0.413 0.093
La 0.618 0.705 0.524
La 0.681 0.087 0.705
La 0.681 0.093 0.976
La 0.705 0.524 0.618
La 0.705 0.681 0.087
La 0.795 0.413 0.819
La 0.795 0.882 0.976
La 0.819 0.524 0.407
La 0.819 0.795 0.413
La 0.882 0.407 0.087
La 0.882 0.976 0.795
La 0.907 0.024 0.319
La 0.907 0.382 0.587
La 0.913 0.118 0.593
La 0.913 0.295 0.319
La 0.976 0.681 0.093
La 0.976 0.795 0.882
Cu 0.125 0.250 0.375
Cu 0.125 0.375 0.750
Cu 0.250 0.375 0.125
Cu 0.250 0.875 0.625
Cu 0.375 0.125 0.250
Cu 0.375 0.750 0.125
Cu 0.625 0.250 0.875
Cu 0.625 0.875 0.750
Cu 0.750 0.125 0.375
Cu 0.750 0.625 0.875
Cu 0.875 0.625 0.250
Cu 0.875 0.750 0.625
C 0.000 0.000 0.000
C 0.000 0.000 0.500
C 0.000 0.500 0.000
C 0.000 0.500 0.500
C 0.125 0.750 0.875
C 0.125 0.875 0.250
C 0.250 0.125 0.875
C 0.250 0.625 0.375
C 0.375 0.250 0.625
C 0.375 0.625 0.750
C 0.500 0.000 0.000
C 0.500 0.000 0.500
C 0.500 0.500 0.000
C 0.500 0.500 0.500
C 0.625 0.375 0.250
C 0.625 0.750 0.375
C 0.750 0.375 0.625
C 0.750 0.875 0.125
C 0.875 0.125 0.750
C 0.875 0.250 0.125
! **DFT formation energy**: 0.056 eV per atom
! **Space group**: Ia-3d, No. 230
! **Total DFT energy (no corrections)**: -465.7 eV for the cell shown
! **Crystal system**: cubic
! **Density of states at the Fermi level**: 88.4 states/eV per cell

! La5Nd6Er2 (GGA-PBE, optimized geometry); values from VASP
&SYSTEM
  ibrav = 0, nat = 26, ntyp = 3
/
ATOMIC_SPECIES
La 138.91 La.upf
Nd 144.24 Nd.upf
Er 167.26 Er.upf
CELL_PARAMETERS angstrom
11.882 0.000 0.000
0.000 21.192 0.000
0.000 0.000 3.680
ATOMIC_POSITIONS crystal
La 0.000 0.000 0.000
La 0.085 0.271 0.000
La 0.197 0.552 0.000
La 0.303 0.052 0.000
La 0.415 0.771 0.000
La 0.500 0.500 0.000
La 0.585 0.229 0.000
La 0.697 0.948 0.000
La 0.803 0.448 0.000
La 0.915 0.729 0.000
Nd 0.063 0.418 0.500
Nd 0.085 0.130 0.500
Nd 0.173 0.858 0.000
Nd 0.327 0.358 0.000
Nd 0.415 0.630 0.500
Nd 0.437 0.918 0.500
Nd 0.563 0.082 0.500
Nd 0.585 0.370 0.500
Nd 0.673 0.642 0.000
Nd 0.827 0.142 0.000
Nd 0.915 0.870 0.500
Nd 0.937 0.582 0.500
Er 0.170 0.709 0.500
Er 0.330 0.209 0.500
Er 0.670 0.791 0.500
Er 0.830 0.291 0.500
! **DFT formation energy**: 0.083 eV per atom
! **Space group**: Pbam, No. 55
! **Total DFT energy (no corrections)**: -122.6 eV for the cell shown
! **Crystal system**: orthorhombic
! **Density of states at the Fermi level**: 32.3 states/eV per cell

! Ac2Dy2Te5 (GGA-PBE, optimized geometry); values from VASP
&SYSTEM
  ibrav = 0, nat = 9, ntyp = 3
/
ATOMIC_SPECIES
Ac 227.00 Ac.upf
Dy 162.50 Dy.upf
Te 127.60 Te.upf
CELL_PARAMETERS angstrom
8.434 -3.017 0.000
8.434 3.017 0.000
-2.136 0.000 6.123
ATOMIC_POSITIONS crystal
Ac 0.098 0.098 0.325
Ac 0.902 0.902 0.675
Dy 0.330 0.330 0.057
Dy 0.670 0.670 0.943
Te 0.134 0.134 0.858
Te 0.312 0.312 0.520
Te 0.500 0.500 0.000
Te 0.688 0.688 0.480
Te 0.866 0.866 0.142
! **Space group**: C2/m, No. 12
! **Total DFT energy (no corrections)**: -44.9 eV for the cell shown
! **Crystal system**: monoclinic
! **Formation energy from raw total energies**: -1307 meV/atom
! **Density of states at the Fermi level**: 5.6 states/eV per cell

! AcGaCl6 (GGA-PBE, optimized geometry); values from VASP
&SYSTEM
  ibrav = 0, nat = 16, ntyp = 3
/
ATOMIC_SPECIES
Ac 227.00 Ac.upf
Ga 69.72 Ga.upf
Cl 35.45 Cl.upf
CELL_PARAMETERS angstrom
6.734 0.000 0.000
0.000 12.049 0.000
-1.728 0.000 6.323
ATOMIC_POSITIONS crystal
Ac 0.000 0.000 0.000
Ac 0.500 0.500 0.000
Ga 0.000 0.500 0.500
Ga 0.500 0.000 0.500
Cl 0.196 0.358 0.718
Cl 0.196 0.642 0.718
Cl 0.244 0.500 0.283
Cl 0.256 0.000 0.717
Cl 0.304 0.142 0.282
Cl 0.304 0.858 0.282
Cl 0.696 0.142 0.718
Cl 0.696 0.858 0.718
Cl 0.744 0.000 0.283
Cl 0.756 0.500 0.717
Cl 0.804 0.358 0.282
Cl 0.804 0.642 0.282
! **Space group**: C2/m, No. 12
! **Total DFT energy (no corrections)**: -62.9 eV for the cell shown
! **Crystal system**: monoclinic
! **Formation energy from raw total energies**: -1652 meV/atom
! **Density of states at the Fermi level**: 0.0 states/eV per cell

! Tl4CrCo (GGA-PBE, optimized geometry); values from VASP
&SYSTEM
  ibrav = 0, nat = 6, ntyp = 3
/
ATOMIC_SPECIES
Tl 204.38 Tl.upf
Cr 52.00 Cr.upf
Co 58.93 Co.upf
CELL_PARAMETERS angstrom
0.000 4.357 4.357
4.357 0.000 4.357
4.357 4.357 0.000
ATOMIC_POSITIONS crystal
Tl 0.125 0.125 0.125
Tl 0.125 0.125 0.626
Tl 0.125 0.626 0.125
Tl 0.626 0.125 0.125
Cr 0.500 0.500 0.500
Co 0.750 0.750 0.750
! **DFT formation energy**: 0.999 eV per atom
! **Space group**: F-43m, No. 216
! **Total DFT energy (no corrections)**: -20.2 eV for the cell shown
! **Crystal system**: cubic
! **Density of states at the Fermi level**: 5.5 states/eV per cell

! NaUGe2 (GGA-PBE, optimized geometry); values from VASP
&SYSTEM
  ibrav = 0, nat = 12, ntyp = 3
/
ATOMIC_SPECIES
Na 22.99 Na.upf
U 238.03 U.upf
Ge 72.64 Ge.upf
CELL_PARAMETERS angstrom
4.425 0.000 0.000
-2.212 3.832 0.000
0.000 0.000 23.901
ATOMIC_POSITIONS crystal
Na 0.000 0.000 0.000
Na 0.333 0.667 0.667
Na 0.667 0.333 0.333
U 0.000 0.000 0.500
U 0.333 0.667 0.167
U 0.667 0.333 0.833
Ge 0.000 0.000 0.119
Ge 0.000 0.000 0.881
Ge 0.333 0.667 0.548
Ge 0.333 0.667 0.786
Ge 0.667 0.333 0.214
Ge 0.667 0.333 0.452
! **DFT formation energy**: 0.426 eV per atom
! **Space group**: R-3m, No. 166
! **Total DFT energy (no corrections)**: -60.4 eV for the cell shown
! **Crystal system**: trigonal
! **Polymorph energy (0 for the lowest one)**: 54.5 kJ per mole of atoms
! **Density of states at the Fermi level**: 14.5 states/eV per cell

! TlFeP (GGA-PBE, optimized geometry); values from VASP
&SYSTEM
  ibrav = 0, nat = 3, ntyp = 3
/
ATOMIC_SPECIES
Tl 204.38 Tl.upf
Fe 55.84 Fe.upf
P 30.97 P.upf
CELL_PARAMETERS angstrom
3.876 0.000 0.000
-1.938 3.357 0.000
0.000 0.000 4.530
ATOMIC_POSITIONS crystal
Tl 0.000 0.000 0.000
Fe 0.667 0.333 0.501
P 0.333 0.667 0.499
! **DFT formation energy**: 0.198 eV per atom
! **Space group**: P3m1, No. 156
! **Total DFT energy (no corrections)**: -15.6 eV for the cell shown
! **Crystal system**: trigonal
! **Polymorph energy (0 for the lowest one)**: 44.4 kJ per mole of atoms
! **Density of states at the Fermi level**: 2.3 states/eV per cell

! Na3ZnB5O10 (GGA-PBE, optimized geometry); values from VASP
&SYSTEM
  ibrav = 0, nat = 76, ntyp = 4
/
ATOMIC_SPECIES
Na 22.99 Na.upf
Zn 65.41 Zn.upf
B 10.81 B.upf
O 16.00 O.upf
CELL_PARAMETERS angstrom
6.794 0.000 0.000
0.000 18.365 0.000
-3.479 0.000 7.246
ATOMIC_POSITIONS crystal
Na 0.142 0.071 0.340
Na 0.142 0.429 0.840
Na 0.177 0.079 0.887
Na 0.177 0.421 0.387
Na 0.293 0.743 0.418
Na 0.293 0.757 0.918
Na 0.707 0.243 0.082
Na 0.707 0.257 0.582
Na 0.823 0.579 0.613
Na 0.823 0.921 0.113
Na 0.858 0.571 0.160
Na 0.858 0.929 0.660
Zn 0.342 0.597 0.191
Zn 0.342 0.903 0.691
Zn 0.658 0.097 0.309
Zn 0.658 0.403 0.809
B 0.058 0.197 0.505
B 0.058 0.303 0.005
B 0.309 0.203 0.170
B 0.309 0.297 0.670
B 0.313 0.579 0.835
B 0.313 0.921 0.335
B 0.322 0.574 0.532
B 0.322 0.926 0.032
B 0.442 0.166 0.728
B 0.442 0.334 0.228
B 0.558 0.666 0.772
B 0.558 0.834 0.272
B 0.678 0.074 0.968
B 0.678 0.426 0.468
B 0.687 0.079 0.665
B 0.687 0.421 0.165
B 0.691 0.703 0.330
B 0.691 0.797 0.830
B 0.942 0.697 0.995
B 0.942 0.803 0.495
O 0.100 0.227 0.044
O 0.100 0.273 0.544
O 0.124 0.678 0.141
O 0.124 0.822 0.641
O 0.209 0.147 0.620
O 0.209 0.353 0.120
O 0.240 0.548 0.656
O 0.240 0.952 0.156
O 0.250 0.546 0.954
O 0.250 0.954 0.454
O 0.252 0.543 0.364
O 0.252 0.957 0.864
O 0.346 0.130 0.195
O 0.346 0.370 0.695
O 0.435 0.642 0.875
O 0.435 0.858 0.375
O 0.468 0.245 0.758
O 0.468 0.255 0.258
O 0.473 0.630 0.589
O 0.473 0.870 0.089
O 0.527 0.130 0.911
O 0.527 0.370 0.411
O 0.532 0.745 0.742
O 0.532 0.755 0.242
O 0.565 0.142 0.625
O 0.565 0.358 0.125
O 0.654 0.630 0.305
O 0.654 0.870 0.805
O 0.748 0.043 0.136
O 0.748 0.457 0.636
O 0.750 0.046 0.546
O 0.750 0.454 0.046
O 0.760 0.048 0.844
O 0.760 0.452 0.344
O 0.791 0.647 0.880
O 0.791 0.853 0.380
O 0.876 0.178 0.359
O 0.876 0.322 0.859
O 0.900 0.727 0.456
O 0.900 0.773 0.956
! **Space group**: P2_1/c, No. 14
! **Total DFT energy (no corrections)**: -524.2 eV for the cell shown
! **Crystal system**: monoclinic
! **Formation energy from raw total energies**: -2256 meV/atom
! **Density of states at the Fermi level**: 0.0 states/eV per cell

! NbFe3Br (GGA-PBE, optimized geometry); values from VASP
&SYSTEM
  ibrav = 0, nat = 5, ntyp = 3
/
ATOMIC_SPECIES
Nb 92.91 Nb.upf
Fe 55.84 Fe.upf
Br 79.90 Br.upf
CELL_PARAMETERS angstrom
4.319 0.000 0.000
0.000 4.319 0.000
0.000 0.000 4.319
ATOMIC_POSITIONS crystal
Nb 0.000 0.000 0.000
Fe 0.000 0.500 0.500
Fe 0.500 0.000 0.500
Fe 0.500 0.500 0.000
Br 0.500 0.500 0.500
! **Space group**: Pm-3m, No. 221
! **Total DFT energy (no corrections)**: -30.9 eV for the cell shown
! **Crystal system**: cubic
! **Formation energy from raw total energies**: 1239 meV/atom
! **Polymorph energy (0 for the lowest one)**: 0.0 kJ per mole of atoms
! **Density of states at the Fermi level**: 7.6 states/eV per cell